3
Lattice="-5.589 -2.943 -0.276 -3.386 -4.252 3.228 3.588 5.195 -0.314" Properties=species:S:1:pos:R:3 comment="LaMnTc PBE relaxed" volume_a3_per_atom=18.652 n_ef_per_ev_atom=1.06 ef_ev_per_fu=0.8 pbc="T T T"
La -8.954 -7.179 2.945
Tc -6.327 -5.072 2.081
Mn -2.668 -2.139 0.878

***

7
Lattice="5.016 0.000 0.000 2.508 4.344 0.000 2.508 1.448 10.024" Properties=species:S:1:pos:R:3 comment="Mg2TlPb4 PBE relaxed" volume_a3_per_atom=31.200 n_ef_per_ev_atom=0.49 ef_ev_per_fu=0.5 pbc="T T T"
Mg 5.016 2.896 1.977
Mg 5.016 2.896 8.047
Pb 7.524 4.344 8.892
Pb 2.508 1.448 6.823
Pb 2.508 1.448 1.132
Pb 7.524 4.344 3.201
Tl 5.016 2.896 5.012

***

18
Lattice="5.494 1.523 1.091 1.913 10.647 0.686 1.913 4.080 9.858" Properties=species:S:1:pos:R:3 comment="Pm2Dy3Sc4 PBE relaxed" volume_a3_per_atom=28.932 n_ef_per_ev_atom=1.65 ef_ev_per_fu=1.0 pbc="T T T"
Sc 1.693 3.202 4.183
Sc 7.626 13.048 7.452
Sc 4.879 10.497 9.405
Sc 2.051 9.208 1.303
Sc 4.522 11.288 2.792
Sc 4.797 4.962 8.843
Sc 4.440 5.753 2.229
Sc 7.268 7.042 10.332
Dy 4.939 2.790 3.612
Dy 7.127 12.694 10.703
Dy 6.033 7.586 7.375
Dy 3.286 8.665 4.259
Dy 2.192 3.556 0.932
Dy 4.380 13.461 8.023
Pm 6.654 7.821 3.907
Pm 5.412 10.794 6.035
Pm 2.665 8.429 7.728
Pm 3.907 5.457 5.600

***

4
Lattice="-0.845 -3.382 0.421 2.245 -0.370 1.535 -1.844 1.053 4.760" Properties=species:S:1:pos:R:3 comment="Be2ZnP PBE relaxed" volume_a3_per_atom=12.318 n_ef_per_ev_atom=0.21 ef_ev_per_fu=1.2 pbc="T T T"
Be -1.240 0.933 5.007
Be -0.403 0.462 2.901
P -0.322 -1.520 1.784
Zn -0.122 -1.179 4.932

***

6
Lattice="-0.898 5.585 0.138 -3.228 2.353 -0.222 0.776 2.684 12.400" Properties=species:S:1:pos:R:3 comment="PaSiBr PBE relaxed" raw_formation_energy_ev_per_atom=-0.51 volume_a3_per_atom=32.401 n_ef_per_ev_atom=0.57 pbc="T T T"
Pa -0.020 2.667 7.937
Pa -3.330 7.956 4.380
Si -0.417 5.481 7.479
Si -2.933 5.142 4.837
Br -1.375 8.114 10.686
Br -1.974 2.509 1.631

***

5
Lattice="4.536 0.000 0.000 0.000 4.536 0.000 2.268 2.268 4.151" Properties=species:S:1:pos:R:3 comment="MnMo2S2 PBE relaxed" raw_formation_energy_ev_per_atom=0.17 volume_a3_per_atom=17.086 n_ef_per_ev_atom=0.58 pbc="T T T"
S 4.536 2.268 2.076
S 2.268 4.536 2.076
Mn 0.000 0.000 0.000
Mo 2.268 2.268 1.151
Mo 4.536 4.536 3.000

***

5
Lattice="6.108 0.000 0.000 0.000 6.108 0.000 0.000 0.000 5.259" Properties=species:S:1:pos:R:3 comment="Ba2TlRhI PBE relaxed" raw_formation_energy_ev_per_atom=-0.66 volume_a3_per_atom=39.239 n_ef_per_ev_atom=0.52 pbc="T T T"
I 3.054 3.054 2.630
Ba 3.054 0.000 0.000
Ba 0.000 3.054 0.000
Rh 0.000 0.000 0.000
Tl 0.000 0.000 2.630

***

10
Lattice="-4.169 -0.015 0.880 -0.739 -2.250 -3.542 1.189 -9.012 5.477" Properties=species:S:1:pos:R:3 comment="Pr2Al4Ir3Au PBE relaxed" volume_a3_per_atom=19.266 n_ef_per_ev_atom=0.81 ef_ev_per_fu=-7.9 pbc="T T T"
Al 0.069 -4.446 0.247
Al 0.000 0.000 0.000
Al -2.454 -1.133 -1.331
Al -1.334 -5.699 3.898
Ir -0.213 -2.310 -1.051
Ir -1.052 -7.835 5.196
Ir 0.594 -4.506 2.738
Pr -1.791 -2.231 1.791
Pr 0.526 -7.914 2.354
Au -1.860 -5.639 1.407

***

10
Lattice="-0.171 2.602 2.986 2.857 -1.988 1.896 6.734 5.487 -4.395" Properties=species:S:1:pos:R:3 comment="Y2Si4Ni3Ir PBE relaxed" raw_formation_energy_ev_per_atom=-0.91 volume_a3_per_atom=15.297 n_ef_per_ev_atom=0.43 pbc="T T T"
Y 6.539 3.170 -2.387
Y 1.538 2.624 0.433
Si 1.343 0.307 2.441
Si 4.221 4.810 -1.318
Si 3.856 0.984 -0.636
Si 0.000 0.000 0.000
Ir 4.710 3.050 0.243
Ni 5.818 6.111 -2.360
Ni 3.367 2.743 -2.198
Ni 2.259 -0.318 0.406

***

3
Lattice="-4.039 0.328 -2.761 -4.411 -0.739 2.010 -3.082 3.766 0.602" Properties=species:S:1:pos:R:3 comment="ZrTlBr PBE relaxed" raw_formation_energy_ev_per_atom=0.27 volume_a3_per_atom=27.789 n_ef_per_ev_atom=1.08 pbc="T T T"
Zr -8.649 2.516 -0.112
Br 0.000 0.000 0.000
Tl -5.766 1.678 -0.075

***

16
Lattice="-4.209 3.822 -0.896 -3.309 -2.747 3.825 2.876 4.511 5.729" Properties=species:S:1:pos:R:3 comment="HfPaPd14 PBE relaxed" volume_a3_per_atom=16.231 n_ef_per_ev_atom=1.07 ef_ev_per_fu=-7.6 pbc="T T T"
Pd -2.325 3.186 1.347
Pd 1.227 3.513 4.655
Pd -4.474 -0.971 3.010
Pd -3.486 4.570 3.515
Pd -0.438 2.131 6.579
Pd -0.890 5.436 4.204
Pd -4.924 2.314 0.650
Pd -1.872 -0.119 3.721
Pd -3.036 1.285 5.875
Pd -2.555 4.054 6.128
Pd -2.819 0.403 1.098
Pd -3.989 1.804 3.271
Pd -0.208 1.263 1.798
Pd -6.579 0.940 2.562
Pa -1.381 2.658 3.963
Hf -5.140 3.196 5.427

***

5
Lattice="4.135 0.000 0.000 0.000 4.039 0.000 0.000 0.000 4.135" Properties=species:S:1:pos:R:3 comment="TiAgRh2N PBE relaxed" raw_formation_energy_ev_per_atom=-0.29 volume_a3_per_atom=13.810 n_ef_per_ev_atom=0.97 pbc="T T T"
Rh 0.000 0.000 2.067
Rh 2.067 0.000 0.000
N 0.000 0.000 0.000
Ag 2.067 2.019 2.067
Ti 0.000 2.019 0.000

***

4
Lattice="-1.789 2.525 0.281 -1.144 -2.029 -2.056 -4.649 -4.023 6.558" Properties=species:S:1:pos:R:3 comment="YTc2Pb PBE relaxed" volume_a3_per_atom=20.074 n_ef_per_ev_atom=1.06 ef_ev_per_fu=2.6 pbc="T T T"
Pb -4.953 -2.769 4.031
Y -2.628 -0.758 0.752
Tc -2.337 -2.022 3.297
Tc -4.636 -4.012 6.540